(1)
CaTl7In4 | PBE | relaxed

Lattice parameters (Å, degrees): 5.969 9.862 7.449 80.30 66.38 72.38
Element x y z (fractional)
Tl  0.927  0.356  0.790
Tl  0.657  0.415  0.271
Tl  0.500  0.000  0.000
Tl  0.213  0.105  0.469
Tl  0.343  0.585  0.729
Tl  0.787  0.895  0.531
Tl  0.073  0.644  0.210
Ca  0.000  0.000  0.000
In  0.438  0.775  0.349
In  0.710  0.678  0.903
In  0.562  0.225  0.651
In  0.290  0.322  0.097

Properties
Density, g cm⁻³: 8.4
Crystal system: monoclinic
Energy of formation from the pure elements, eV/atom: 0.045


(2)
ScTiNi4 | PBE | relaxed

Lattice parameters (Å, degrees): 4.818 4.818 4.818 60.00 60.00 60.00
Element x y z (fractional)
Sc  0.250  0.250  0.250
Ni  0.625  0.625  0.124
Ni  0.124  0.625  0.625
Ni  0.625  0.625  0.625
Ni  0.625  0.124  0.625
Ti  0.000  0.000  0.000

Properties
Density, g cm⁻³: 6.9
Crystal system: cubic
Energy of formation from the pure elements, eV/atom: -0.420


(3)
Th2FeH | PBE | relaxed

Lattice parameters (Å, degrees): 4.016 4.016 7.753 74.99 74.99 60.00
Element x y z (fractional)
Th  0.103  0.103  0.692
Th  0.897  0.897  0.308
Fe  0.500  0.500  0.500
H  0.000  0.000  0.000

Properties
Density, g cm⁻³: 8.4
E above lowest polymorph, meV per atom: 86
Crystal system: trigonal


(4)
PmScGa3 | PBE | relaxed

Lattice parameters (Å, degrees): 4.154 4.118 12.739 99.30 90.00 90.00
Element x y z (fractional)
Ga  0.250  0.376  0.751
Ga  0.250  0.475  0.950
Ga  0.750  0.525  0.050
Ga  0.750  0.318  0.635
Ga  0.250  0.682  0.365
Ga  0.750  0.624  0.249
Pm  0.750  0.924  0.849
Pm  0.250  0.076  0.151
Sc  0.750  0.205  0.410
Sc  0.250  0.795  0.590

Properties
Density, g cm⁻³: 6.2
Crystal system: orthorhombic
Energy of formation from the pure elements, eV/atom: -0.637


(5)
Rb3TmB2O6 | PBE | relaxed

Lattice parameters (Å, degrees): 5.613 5.613 7.180 90.00 90.00 120.00
Element x y z (fractional)
Tm  0.000  0.000  0.500
O  0.379  0.189  0.684
O  0.621  0.811  0.316
O  0.811  0.621  0.684
O  0.189  0.811  0.316
O  0.811  0.189  0.684
O  0.189  0.379  0.316
Rb  0.333  0.667  0.752
Rb  0.000  0.000  0.000
Rb  0.667  0.333  0.248
B  0.333  0.667  0.316
B  0.667  0.333  0.684

Properties
Density, g cm⁻³: 4.6
Crystal system: trigonal
Electronic total energy, eV per atom: -6.66


(6)
AcTbP2Pd2 | PBE | relaxed

Lattice parameters (Å, degrees): 4.279 4.279 7.897 90.00 90.00 120.00
Element x y z (fractional)
Pd  0.333  0.667  0.729
Pd  0.667  0.333  0.271
P  0.667  0.333  0.729
P  0.333  0.667  0.271
Tb  0.000  0.000  0.500
Ac  0.000  0.000  0.000

Properties
Density, g cm⁻³: 8.8
Crystal system: trigonal
Energy of formation from the pure elements, eV/atom: -1.241


(7)
Rb2FePdI6 | PBE | relaxed

Lattice parameters (Å, degrees): 8.029 8.029 8.026 59.99 59.99 90.00
Each line ends with the local moment (μB).
Element x y z (fractional)
Pd  0.000  0.000  0.000  -0.27
I  0.749  0.749  0.000  0.03
I  0.251  0.749  0.000  0.02
I  0.254  0.254  0.492  0.03
I  0.749  0.251  0.000  0.02
I  0.251  0.251  0.000  0.03
I  0.746  0.746  0.508  0.03
Rb  0.250  0.750  0.500  0.00
Rb  0.750  0.250  0.500  0.00
Fe  0.500  0.500  0.000  3.29

Properties
Density, g cm⁻³: 5.0
Crystal system: tetragonal
Electronic total energy, eV per atom: -3.11


(8)
Ta2TlIr2 | PBE | relaxed

Lattice parameters (Å, degrees): 7.853 7.853 2.930 90.00 90.00 90.00
Element x y z (fractional)
Tl  0.000  0.000  0.000
Tl  0.500  0.500  0.000
Ir  0.131  0.369  0.000
Ir  0.869  0.631  0.000
Ir  0.631  0.131  0.000
Ir  0.369  0.869  0.000
Ta  0.659  0.841  0.500
Ta  0.841  0.341  0.500
Ta  0.341  0.159  0.500
Ta  0.159  0.659  0.500

Properties
Density, g cm⁻³: 17.5
Crystal system: tetragonal
Energy of formation from the pure elements, eV/atom: -0.256


(9)
CaMg2Ir | PBE | relaxed

Lattice parameters (Å, degrees): 5.139 5.139 5.139 129.68 129.68 73.92
Element x y z (fractional)
Mg  0.000  0.000  0.000
Mg  0.500  0.500  0.000
Ir  0.750  0.250  0.500
Ca  0.250  0.750  0.500

Properties
Density, g cm⁻³: 5.9
Crystal system: tetragonal
Energy of formation from the pure elements, eV/atom: -0.204


(10)
MnGeHPb2 | PBE | relaxed

Lattice parameters (Å, degrees): 5.337 3.313 5.337 90.00 90.00 90.00
Each line ends with the local moment (μB).
Element x y z (fractional)
Pb  0.500  0.000  0.000  0.01
Pb  0.000  0.000  0.500  0.01
H  0.000  0.000  0.000  0.00
Ge  0.500  0.500  0.500  0.00
Mn  0.000  0.500  0.000  0.15

Properties
Density, g cm⁻³: 9.6
Crystal system: tetragonal
Electronic total energy, eV per atom: -4.29


(11)
MnNi6Pd | PBE | relaxed

Lattice parameters (Å, degrees): 6.252 6.252 10.254 90.00 90.00 109.68
Each line ends with the local moment (μB).
Element x y z (fractional)
Ni  0.122  0.371  0.872  0.73
Ni  0.122  0.371  0.128  0.73
Ni  0.626  0.878  0.378  0.67
Ni  0.122  0.374  0.622  0.67
Ni  0.000  0.000  0.500  0.65
Ni  0.500  0.500  0.500  0.70
Ni  0.374  0.122  0.622  0.67
Ni  0.500  0.500  0.000  0.75
Ni  0.629  0.878  0.128  0.73
Ni  0.878  0.629  0.872  0.73
Ni  0.000  0.000  0.000  0.71
Ni  0.626  0.878  0.622  0.67
Ni  0.629  0.878  0.872  0.73
Ni  0.371  0.122  0.128  0.73
Ni  0.248  0.752  0.254  0.68
Ni  0.752  0.248  0.746  0.68
Ni  0.878  0.626  0.378  0.67
Ni  0.878  0.629  0.128  0.73
Ni  0.371  0.122  0.872  0.73
Ni  0.374  0.122  0.378  0.67
Ni  0.878  0.626  0.622  0.67
Ni  0.248  0.752  0.746  0.68
Ni  0.122  0.374  0.378  0.67
Ni  0.752  0.248  0.254  0.68
Pd  0.500  0.500  0.750  0.31
Pd  0.500  0.500  0.250  0.31
Pd  0.249  0.751  0.000  0.29
Pd  0.751  0.249  0.000  0.29
Mn  0.750  0.250  0.500  3.36
Mn  0.000  0.000  0.253  3.38
Mn  0.000  0.000  0.747  3.38
Mn  0.250  0.750  0.500  3.36

Properties
Density, g cm⁻³: 9.0
Crystal system: orthorhombic
Energy of formation from the pure elements, eV/atom: -0.024


Number 1: V 382 Å³ per cell. Number 2: V 79 Å³ per cell. Number 3: V 103 Å³ per cell. Number 4: V 215 Å³ per cell. Number 5: V 196 Å³ per cell. Number 6: V 125 Å³ per cell. Number 7: V 366 Å³ per cell. Number 8: V 181 Å³ per cell. Number 9: V 78 Å³ per cell. Number 10: V 94 Å³ per cell. Number 11: V 377 Å³ per cell.